Entry 1:
A geometry-optimized SrNd2Ga structure, computed with PBE-GGA.

a = 4.7731 Å, b = 4.7731 Å, c = 8.2381 Å
α = 73.16°, β = 73.16°, γ = 60.00°
Positions (direct):
Sr  0.4976  0.4976  0.5072
Nd  0.0533  0.0533  0.8402
Nd  0.2812  0.2812  0.1563
Ga  0.6679  0.6679  0.9963

Computed properties:
**E**: -3.594 eV per atom
**DOS at the Fermi energy**: 5.25 states/eV/f.u.
**Distance to the lowest polymorph of the same formula**: 0.60 eV per formula unit

---

Entry 2:
A geometry-optimized Eu3Sc structure, computed with PBE-GGA.

a = 5.2372 Å, b = 5.2372 Å, c = 5.2372 Å
α = 90.00°, β = 90.00°, γ = 90.00°
Positions (direct):
Eu  0.0000  0.5000  0.5000
Eu  0.5000  0.0000  0.5000
Eu  0.5000  0.5000  0.0000
Sc  0.0000  0.0000  0.0000

Computed properties:
**E**: -9.134 eV per atom
**DOS at the Fermi energy**: 4.93 states/eV/f.u.
**Distance to the lowest polymorph of the same formula**: 0.00 eV per formula unit

---

Entry 3:
A geometry-optimized RhCl3 structure, computed with PBE-GGA.

a = 6.2885 Å, b = 6.2885 Å, c = 6.2885 Å
α = 149.37°, β = 119.76°, γ = 69.09°
Positions (direct):
Rh  0.4581  0.7500  0.7081
Cl  0.1740  0.1040  0.0700
Cl  0.4661  0.3960  0.0700
Cl  0.7352  0.2500  0.4852

Computed properties:
**E**: -3.420 eV per atom
**Uncorrected formation energy**: -0.197 eV per atom

---

Entry 4:
A geometry-optimized Tb2CdSnAu4 structure, computed with PBE-GGA.

a = 4.9526 Å, b = 4.9526 Å, c = 8.6212 Å
α = 73.31°, β = 73.31°, γ = 60.00°
Positions (direct):
Tb  0.7513  0.7513  0.7460
Tb  0.2487  0.2487  0.2540
Cd  0.0000  0.0000  0.0000
Sn  0.5000  0.5000  0.5000
Au  0.3716  0.3716  0.8853
Au  0.8779  0.8779  0.3664
Au  0.1221  0.1221  0.6336
Au  0.6284  0.6284  0.1147

Computed properties:
**E**: -4.097 eV per atom
**DOS at the Fermi energy**: 4.14 states/eV/f.u.